The following is a DFT calculation (PBEsol) of a geometry-optimized Nb2WOF structure.

Geometry as POSCAR:
```
Nb2WOF
1.0
4.859 0.000 0.000
0.000 4.859 0.000
0.000 0.000 3.881
Nb W O F
2 1 1 1
Direct
0.000 0.500 0.000 Nb
0.500 0.000 0.000 Nb
0.000 0.000 0.000 W
0.500 0.500 0.500 O
0.000 0.000 0.500 F
```

Output
Calculated density in g/cm³: 7.333
Energy relative to the elements, uncorrected in eV per atom: 0.99
Space-group type: P4/mmm (123)
V in Å³/atom: 18.326
Density of states at the Fermi level in states/eV/cell: 6.3
Calculated total energy in eV per atom: -7.540